## SrHoS2 (GGA-PBE)

Data for an optimized crystal structure of SrHoS2.

It has space group C2/m (No. 12), with a = 6.963 Å, b = 4.020 Å, c = 7.148 Å, α = 90.00°, β = 108.83° and γ = 90.00°. The inequivalent atoms are Sr at (0.000, 0.000, 0.000), Ho at (0.000, 0.500, 0.500) and S at (0.242, 0.000, 0.727).

The formation energy (no corrections) comes out at -2029 meV/atom. The total magnetization is 0.000 Bohr magnetons per cell. The raw total energy comes out at -5.66 eV/atom. For the density of states at the Fermi level, the calculation gives 1.60 states/eV/f.u. The distance to the lowest polymorph of the same formula is 0.000 eV/atom.